# 1
The following is a DFT calculation (PBE) of a relaxed Eu3Ti crystal.

POSCAR file:
```
Eu3Ti
1.0
-2.571 2.571 5.119
2.571 -2.571 5.119
2.571 2.571 -5.119
Eu Ti
3 1
Direct
0.000 0.000 0.000
0.250 0.750 0.500
0.750 0.250 0.500
0.500 0.500 0.000
```

- SG = I4/mmm (139)
- DFT total energy (Ry per atom) = -0.683
- distance to the lowest polymorph of the same formula (eV per atom) = 0.000



# 2
The following is a DFT calculation (PBE) of a relaxed EuTm2Ti crystal.

POSCAR file:
```
EuTm2Ti
1.0
3.440 0.000 0.000
0.000 3.440 0.000
0.000 0.000 9.679
Eu Tm Ti
1 2 1
Direct
0.000 0.000 0.000
0.500 0.500 0.299
0.500 0.500 0.701
0.000 0.000 0.500
```

- SG = P4/mmm (123)
- DFT total energy (Ry per atom) = -0.486



# 3
The following is a DFT calculation (PBE) of a relaxed EuTiZn4 crystal.

POSCAR file:
```
EuTiZn4
1.0
0.000 3.778 3.778
3.778 0.000 3.778
3.778 3.778 0.000
Eu Ti Zn
1 1 4
Direct
0.000 0.000 0.000
0.250 0.250 0.250
0.129 0.624 0.624
0.624 0.129 0.624
0.624 0.624 0.129
0.624 0.624 0.624
```

- SG = F-43m (216)
- DFT total energy (Ry per atom) = -0.292



# 4
The following is a DFT calculation (PBE) of a relaxed EuTl crystal.

POSCAR file:
```
EuTl
1.0
3.985 0.000 0.000
0.000 3.985 0.000
0.000 0.000 3.985
Eu Tl
1 1
Direct
0.000 0.000 0.000
0.500 0.500 0.500
```

- SG = Pm-3m (221)
- DFT total energy (Ry per atom) = -0.496
- distance to the lowest polymorph of the same formula (eV per atom) = 0.000



no.,E_form (eV per atom),total magnetization (μB per formula unit),ρ (g cm⁻³)
1,0.390,24.43,6.18
2,0.170,7.79,7.79
3,-0.091,5.49,7.11
4,-0.434,7.15,9.35